[1]
Material: Tm2TlTeO8
Method: DFT, PBE-GGA
State: relaxed

Cell: 4.928 4.928 6.968 Å, 90.00 90.00 92.14°
Sites, in units of the cell vectors:
Tm  0.000  0.000  0.249
Tm  0.000  0.000  0.751
Tl  0.500  0.500  0.500
Te  0.500  0.500  0.000
O  0.194  0.194  0.500
O  0.216  0.216  0.000
O  0.311  0.689  0.203
O  0.311  0.689  0.797
O  0.689  0.311  0.203
O  0.689  0.311  0.797
O  0.784  0.784  0.000
O  0.806  0.806  0.500

Values from the calculation:
The value obtained for the total energy is -6.45 eV per atom. For the uncorrected formation energy, the calculation gives -1.95 eV/atom. The value obtained for the magnetization is 0.9 μB per cell. The volume comes out at 14.09 Å³ per atom.

[2]
Material: TmTl2TeO8
Method: DFT, PBE-GGA
State: relaxed

Cell: 5.062 5.062 6.762 Å, 90.00 90.00 91.48°
Sites, in units of the cell vectors:
Tm  0.000  0.000  0.000
Tl  0.500  0.500  0.252
Tl  0.500  0.500  0.748
Te  0.000  0.000  0.500
O  0.177  0.823  0.282
O  0.177  0.823  0.718
O  0.282  0.282  0.500
O  0.304  0.304  0.000
O  0.696  0.696  0.000
O  0.718  0.718  0.500
O  0.823  0.177  0.282
O  0.823  0.177  0.718

Values from the calculation:
The value obtained for the total energy is -5.59 eV per atom. For the uncorrected formation energy, the calculation gives -1.25 eV/atom. The value obtained for the magnetization is 0.9 μB per cell. The volume comes out at 14.43 Å³ per atom.

[3]
Material: TmTlTe2O8
Method: DFT, PBE-GGA
State: relaxed

Cell: 5.831 5.831 8.115 Å, 90.00 90.00 120.00°
Sites, in units of the cell vectors:
Tm  0.000  0.000  0.000
Tl  0.000  0.000  0.500
Te  0.333  0.667  0.247
Te  0.667  0.333  0.753
O  0.094  0.335  0.167
O  0.241  0.906  0.167
O  0.333  0.667  0.471
O  0.335  0.241  0.833
O  0.665  0.759  0.167
O  0.667  0.333  0.529
O  0.759  0.094  0.833
O  0.906  0.665  0.833

Values from the calculation:
The value obtained for the total energy is -5.82 eV per atom. For the uncorrected formation energy, the calculation gives -1.42 eV/atom. The value obtained for the magnetization is 0.0 μB per cell. The volume comes out at 19.91 Å³ per atom.

[4]
Material: TmTlTeO6
Method: DFT, PBE-GGA
State: relaxed

Cell: 5.564 5.564 9.263 Å, 90.00 90.00 120.00°
Sites, in units of the cell vectors:
Tm  0.333  0.667  0.250
Tm  0.667  0.333  0.750
Tl  0.000  0.000  0.000
Tl  0.000  0.000  0.500
Te  0.333  0.667  0.750
Te  0.667  0.333  0.250
O  0.036  0.375  0.634
O  0.036  0.661  0.866
O  0.339  0.375  0.866
O  0.339  0.964  0.634
O  0.375  0.036  0.134
O  0.375  0.339  0.366
O  0.625  0.661  0.634
O  0.625  0.964  0.866
O  0.661  0.036  0.366
O  0.661  0.625  0.134
O  0.964  0.339  0.134
O  0.964  0.625  0.366

Values from the calculation:
The value obtained for the total energy is -6.02 eV per atom. For the uncorrected formation energy, the calculation gives -1.60 eV/atom. The value obtained for the magnetization is 0.0 μB per cell. The volume comes out at 13.80 Å³ per atom.

[5]
Material: Tm3TlTe4O12
Method: DFT, PBE-GGA
State: relaxed

Cell: 7.767 7.767 7.767 Å, 110.67 110.67 110.67°
Sites, in units of the cell vectors:
Tm  0.000  0.561  0.439
Tm  0.439  0.000  0.561
Tm  0.561  0.439  0.000
Tl  0.000  0.000  0.000
Te  0.056  0.500  0.944
Te  0.500  0.500  0.500
Te  0.500  0.944  0.056
Te  0.944  0.056  0.500
O  0.101  0.899  0.500
O  0.144  0.674  0.788
O  0.212  0.326  0.856
O  0.326  0.856  0.212
O  0.335  0.665  0.500
O  0.500  0.101  0.899
O  0.500  0.335  0.665
O  0.665  0.500  0.335
O  0.674  0.788  0.144
O  0.788  0.144  0.674
O  0.856  0.212  0.326
O  0.899  0.500  0.101

Values from the calculation:
The value obtained for the total energy is -6.10 eV per atom. For the uncorrected formation energy, the calculation gives -1.71 eV/atom. The value obtained for the magnetization is 0.0 μB per cell. The volume comes out at 17.19 Å³ per atom.

[6]
Material: TmTl2TeO6
Method: DFT, PBE-GGA
State: relaxed

Cell: 5.894 5.894 5.894 Å, 60.00 60.00 60.00°
Sites, in units of the cell vectors:
Tm  0.000  0.000  0.000
Tl  0.250  0.250  0.250
Tl  0.750  0.750  0.750
Te  0.500  0.500  0.500
O  0.266  0.266  0.734
O  0.266  0.734  0.266
O  0.266  0.734  0.734
O  0.734  0.266  0.266
O  0.734  0.266  0.734
O  0.734  0.734  0.266

Values from the calculation:
The value obtained for the total energy is -5.73 eV per atom. For the uncorrected formation energy, the calculation gives -1.52 eV/atom. The value obtained for the magnetization is 0.0 μB per cell. The volume comes out at 14.48 Å³ per atom.

[7]
Material: UTl2TeO6
Method: DFT, PBE-GGA
State: relaxed

Cell: 4.323 4.323 8.618 Å, 90.00 90.00 90.00°
Sites, in units of the cell vectors:
U  0.000  0.000  0.000
Tl  0.500  0.500  0.272
Tl  0.500  0.500  0.728
Te  0.000  0.000  0.500
O  0.000  0.000  0.236
O  0.000  0.000  0.764
O  0.000  0.500  0.000
O  0.000  0.500  0.500
O  0.500  0.000  0.000
O  0.500  0.000  0.500

Values from the calculation:
The value obtained for the total energy is -6.60 eV per atom. For the uncorrected formation energy, the calculation gives -1.71 eV/atom. The value obtained for the magnetization is 0.1 μB per cell. The volume comes out at 16.11 Å³ per atom.

[8]
Material: UTlTeO5
Method: DFT, PBE-GGA
State: relaxed

Cell: 6.253 6.253 8.136 Å, 100.32 100.32 105.27°
Sites, in units of the cell vectors:
U  0.000  0.000  0.000
U  0.000  0.000  0.500
Tl  0.322  0.678  0.750
Tl  0.678  0.322  0.250
Te  0.338  0.662  0.250
Te  0.662  0.338  0.750
O  0.068  0.932  0.750
O  0.109  0.685  0.375
O  0.168  0.343  0.051
O  0.315  0.891  0.125
O  0.343  0.168  0.551
O  0.657  0.832  0.449
O  0.685  0.109  0.875
O  0.832  0.657  0.949
O  0.891  0.315  0.625
O  0.932  0.068  0.250

Values from the calculation:
The value obtained for the total energy is -7.06 eV per atom. For the uncorrected formation energy, the calculation gives -1.86 eV/atom. The value obtained for the magnetization is 2.0 μB per cell. The volume comes out at 18.32 Å³ per atom.

[9]
Material: UTl2Te2O8
Method: DFT, PBE-GGA
State: relaxed

Cell: 7.633 8.295 9.282 Å, 90.63 108.94 109.78°
Sites, in units of the cell vectors:
U  0.113  0.438  0.215
U  0.887  0.562  0.785
Tl  0.036  0.895  0.171
Tl  0.280  0.941  0.597
Tl  0.720  0.059  0.403
Tl  0.964  0.105  0.829
Te  0.333  0.406  0.634
Te  0.397  0.790  0.986
Te  0.603  0.210  0.014
Te  0.667  0.594  0.366
O  0.012  0.580  0.294
O  0.159  0.294  0.434
O  0.174  0.636  0.046
O  0.183  0.794  0.809
O  0.215  0.303  0.130
O  0.282  0.214  0.740
O  0.422  0.604  0.374
O  0.424  0.988  0.111
O  0.576  0.012  0.889
O  0.578  0.396  0.626
O  0.718  0.786  0.260
O  0.785  0.697  0.870
O  0.817  0.206  0.191
O  0.826  0.364  0.954
O  0.841  0.706  0.566
O  0.988  0.420  0.706

Values from the calculation:
The value obtained for the total energy is -6.41 eV per atom. For the uncorrected formation energy, the calculation gives -1.65 eV/atom. The distance to the lowest polymorph of the same formula comes out at 3 kJ/mol of formula units. The value obtained for the magnetization is 0.0 μB per cell. The volume comes out at 19.93 Å³ per atom.